[1]
Density functional theory data (PBE) for EuYAg after structural relaxation.

## Properties
DOS(E_F): 0.674 states/eV/atom
energy of formation from the pure elements: -160 meV/atom
M_tot: 7.3 μB per cell
energy relative to the lowest polymorph listed for this composition: 0 meV per atom

a = 3.712 Å, b = 3.712 Å, c = 7.048 Å
α = 105.27°, β = 105.27°, γ = 90.00°
Fractional positions:
Eu  0.020  0.020  0.040
Y  0.301  0.301  0.602
Ag  0.679  0.679  0.357

[2]
Density functional theory data (PBE) for EuY2Ag after structural relaxation.

## Properties
DOS(E_F): 1.101 states/eV/atom
energy of formation from the pure elements: -86 meV/atom
M_tot: 8.5 μB per cell
energy relative to the lowest polymorph listed for this composition: 0 meV per atom

a = 3.661 Å, b = 3.661 Å, c = 9.072 Å
α = 90.00°, β = 90.00°, γ = 90.00°
Fractional positions:
Eu  0.500  0.500  0.500
Ag  0.500  0.500  0.000
Y  0.000  0.000  0.197
Y  0.000  0.000  0.803

[3]
Density functional theory data (PBE) for YbEuAg2 after structural relaxation.

## Properties
DOS(E_F): 6.304 states/eV/atom
energy of formation from the pure elements: -328 meV/atom
M_tot: 7.4 μB per cell

a = 5.293 Å, b = 5.293 Å, c = 5.293 Å
α = 60.00°, β = 60.00°, γ = 60.00°
Fractional positions:
Yb  0.000  0.000  0.000
Eu  0.500  0.500  0.500
Ag  0.250  0.250  0.250
Ag  0.750  0.750  0.750

[4]
Density functional theory data (PBE) for EuZn2Ag after structural relaxation.

## Properties
DOS(E_F): 0.498 states/eV/atom
energy of formation from the pure elements: -135 meV/atom
M_tot: 7.2 μB per cell

a = 3.439 Å, b = 3.439 Å, c = 7.073 Å
α = 90.00°, β = 90.00°, γ = 90.00°
Fractional positions:
Zn  0.000  0.000  0.801
Zn  0.000  0.000  0.199
Ag  0.500  0.500  0.000
Eu  0.500  0.500  0.500

[5]
Density functional theory data (PBE) for Eu2ZnAg after structural relaxation.

## Properties
DOS(E_F): 1.101 states/eV/atom
energy of formation from the pure elements: -269 meV/atom
M_tot: 14.2 μB per cell

a = 5.358 Å, b = 5.358 Å, c = 5.358 Å
α = 60.00°, β = 60.00°, γ = 60.00°
Fractional positions:
Zn  0.750  0.750  0.750
Eu  0.000  0.000  0.000
Eu  0.500  0.500  0.500
Ag  0.250  0.250  0.250

[6]
Density functional theory data (PBE) for EuZnAg after structural relaxation.

## Properties
DOS(E_F): 2.035 states/eV/atom
energy of formation from the pure elements: -211 meV/atom
M_tot: 7.2 μB per cell

a = 3.595 Å, b = 3.595 Å, c = 5.922 Å
α = 107.67°, β = 107.67°, γ = 90.00°
Fractional positions:
Ag  0.646  0.646  0.291
Eu  0.948  0.948  0.895
Zn  0.257  0.257  0.514

[7]
Density functional theory data (PBE) for EuZnAg after structural relaxation.

## Properties
DOS(E_F): 2.918 states/eV/atom
energy of formation from the pure elements: -290 meV/atom
M_tot: 7.2 μB per cell

a = 3.907 Å, b = 4.656 Å, c = 4.656 Å
α = 120.00°, β = 90.00°, γ = 90.00°
Fractional positions:
Eu  0.667  0.667  0.333
Ag  0.167  0.333  0.667
Zn  0.167  0.000  0.000

[8]
Density functional theory data (PBE) for EuZnAg2 after structural relaxation.

## Properties
DOS(E_F): 1.882 states/eV/atom
energy of formation from the pure elements: -124 meV/atom
M_tot: 7.2 μB per cell

a = 3.470 Å, b = 3.470 Å, c = 7.165 Å
α = 90.00°, β = 90.00°, γ = 90.00°
Fractional positions:
Zn  0.500  0.500  0.000
Eu  0.500  0.500  0.500
Ag  0.000  0.000  0.198
Ag  0.000  0.000  0.802

[9]
Density functional theory data (PBE) for Eu2ZnAg after structural relaxation.

## Properties
DOS(E_F): 2.827 states/eV/atom
energy of formation from the pure elements: -277 meV/atom
M_tot: 14.6 μB per cell

a = 3.787 Å, b = 3.787 Å, c = 7.570 Å
α = 90.00°, β = 90.00°, γ = 90.00°
Fractional positions:
Zn  0.500  0.500  0.000
Eu  0.000  0.000  0.755
Eu  0.000  0.000  0.245
Ag  0.500  0.500  0.500

[10]
Density functional theory data (PBE) for EuZnAg4 after structural relaxation.

## Properties
DOS(E_F): 2.015 states/eV/atom
energy of formation from the pure elements: -92 meV/atom
M_tot: 7.6 μB per cell

a = 5.626 Å, b = 5.626 Å, c = 5.626 Å
α = 60.00°, β = 60.00°, γ = 60.00°
Fractional positions:
Ag  0.626  0.626  0.123
Ag  0.626  0.626  0.626
Ag  0.626  0.123  0.626
Ag  0.123  0.626  0.626
Zn  0.000  0.000  0.000
Eu  0.250  0.250  0.250

[11]
Density functional theory data (PBE) for AgF after structural relaxation.

## Properties
energy relative to the elements, uncorrected: -88 kJ per mole of atoms
M_tot: 0.0 μB per cell
energy relative to the lowest polymorph listed for this composition: 57 meV per atom

a = 9.723 Å, b = 9.723 Å, c = 3.179 Å
α = 90.00°, β = 90.00°, γ = 90.00°
Fractional positions:
Ag  0.419  0.289  0.000
Ag  0.789  0.081  0.500
Ag  0.289  0.581  0.000
Ag  0.211  0.919  0.500
Ag  0.581  0.711  0.000
Ag  0.711  0.419  0.000
Ag  0.919  0.789  0.500
Ag  0.081  0.211  0.500
F  0.707  0.873  0.500
F  0.627  0.207  0.000
F  0.793  0.627  0.000
F  0.293  0.127  0.500
F  0.207  0.373  0.000
F  0.373  0.793  0.000
F  0.873  0.293  0.500
F  0.127  0.707  0.500

[12]
Density functional theory data (PBE) for Ag4F after structural relaxation.

## Properties
energy relative to the elements, uncorrected: -31 kJ per mole of atoms
DOS(E_F): 0.132 states/eV/atom
M_tot: 0.0 μB per cell
energy relative to the lowest polymorph listed for this composition: 0 meV per atom

a = 2.953 Å, b = 4.851 Å, c = 6.041 Å
α = 96.35°, β = 90.00°, γ = 90.00°
Fractional positions:
Ag  0.500  0.237  0.376
Ag  0.000  0.312  0.795
Ag  0.000  0.688  0.205
Ag  0.500  0.763  0.624
F  0.500  0.000  0.000

[13]
Density functional theory data (PBE) for Ag3F5 after structural relaxation.

## Properties
energy relative to the elements, uncorrected: -107 kJ per mole of atoms
DOS(E_F): 0.603 states/eV/atom
M_tot: 1.8 μB per cell

a = 7.035 Å, b = 7.955 Å, c = 6.612 Å
α = 71.87°, β = 57.86°, γ = 54.20°
Fractional positions:
F  0.746  0.437  0.500
F  0.059  0.363  0.854
F  0.413  0.363  0.146
F  0.889  0.093  0.234
F  0.110  0.971  0.766
F  0.376  0.971  0.234
F  0.253  0.626  0.500
F  0.586  0.701  0.854
F  0.623  0.093  0.766
F  0.940  0.701  0.146
Ag  0.000  0.032  0.500
Ag  0.337  0.532  0.824
Ag  0.672  0.032  0.156
Ag  0.327  0.032  0.844
Ag  0.662  0.532  0.176
Ag  0.000  0.532  0.500

[14]
Density functional theory data (PBE) for AgF after structural relaxation.

## Properties
energy relative to the elements, uncorrected: -91 kJ per mole of atoms
DOS(E_F): 0.016 states/eV/atom
M_tot: 0.0 μB per cell
energy relative to the lowest polymorph listed for this composition: 17 meV per atom

a = 6.687 Å, b = 6.687 Å, c = 5.253 Å
α = 90.00°, β = 90.00°, γ = 120.00°
Fractional positions:
Ag  0.000  0.257  0.250
Ag  0.257  0.257  0.750
Ag  0.743  0.000  0.750
Ag  0.257  0.000  0.250
Ag  0.743  0.743  0.250
Ag  0.000  0.743  0.750
F  0.000  0.611  0.250
F  0.611  0.000  0.250
F  0.000  0.389  0.750
F  0.389  0.000  0.750
F  0.611  0.611  0.750
F  0.389  0.389  0.250

[15]
Density functional theory data (PBE) for Ag2F3 after structural relaxation.

## Properties
energy relative to the elements, uncorrected: -103 kJ per mole of atoms
DOS(E_F): 0.988 states/eV/atom
M_tot: 2.0 μB per cell
energy relative to the lowest polymorph listed for this composition: 6 meV per atom

a = 6.385 Å, b = 6.385 Å, c = 6.385 Å
α = 54.70°, β = 54.70°, γ = 54.70°
Fractional positions:
F  0.558  0.942  0.250
F  0.442  0.058  0.750
F  0.750  0.442  0.058
F  0.058  0.750  0.442
F  0.250  0.558  0.942
F  0.942  0.250  0.558
Ag  0.652  0.652  0.652
Ag  0.848  0.848  0.848
Ag  0.152  0.152  0.152
Ag  0.348  0.348  0.348

[16]
Density functional theory data (PBE) for AgF after structural relaxation.

## Properties
energy relative to the elements, uncorrected: -93 kJ per mole of atoms
DOS(E_F): 0.515 states/eV/atom
M_tot: 0.0 μB per cell
energy relative to the lowest polymorph listed for this composition: 5 meV per atom

a = 3.553 Å, b = 3.553 Å, c = 3.553 Å
α = 60.00°, β = 60.00°, γ = 60.00°
Fractional positions:
Ag  0.000  0.000  0.000
F  0.500  0.500  0.500

[17]
Density functional theory data (PBE) for AgF after structural relaxation.

## Properties
energy relative to the elements, uncorrected: -93 kJ per mole of atoms
DOS(E_F): 0.212 states/eV/atom
M_tot: 0.0 μB per cell
energy relative to the lowest polymorph listed for this composition: 5 meV per atom

a = 3.269 Å, b = 3.714 Å, c = 15.110 Å
α = 90.00°, β = 90.00°, γ = 90.00°
Fractional positions:
F  0.000  0.753  0.329
F  0.500  0.463  0.500
F  0.000  0.753  0.671
F  0.500  0.247  0.829
F  0.000  0.537  0.000
F  0.500  0.247  0.171
Ag  0.500  0.253  0.339
Ag  0.500  0.253  0.661
Ag  0.000  0.747  0.161
Ag  0.000  0.747  0.839
Ag  0.000  0.950  0.500
Ag  0.500  0.050  0.000

[18]
Density functional theory data (PBE) for Ag6F5 after structural relaxation.

## Properties
energy relative to the elements, uncorrected: -86 kJ per mole of atoms
DOS(E_F): 0.121 states/eV/atom
M_tot: 0.0 μB per cell

a = 6.051 Å, b = 6.029 Å, c = 5.702 Å
α = 79.98°, β = 69.72°, γ = 59.88°
Fractional positions:
F  0.500  0.000  0.500
F  0.343  0.315  0.000
F  0.657  0.685  0.000
F  0.800  0.401  0.500
F  0.200  0.599  0.500
Ag  0.649  0.283  0.217
Ag  0.068  0.283  0.783
Ag  0.197  0.000  0.239
Ag  0.351  0.717  0.783
Ag  0.932  0.717  0.217
Ag  0.803  0.000  0.761

[19]
Density functional theory data (PBE) for Ag5F after structural relaxation.

## Properties
energy relative to the elements, uncorrected: -25 kJ per mole of atoms
DOS(E_F): 0.156 states/eV/atom
M_tot: 0.0 μB per cell
energy relative to the lowest polymorph listed for this composition: 0 meV per atom

a = 2.980 Å, b = 7.333 Å, c = 7.987 Å
α = 37.17°, β = 79.25°, γ = 78.28°
Fractional positions:
Ag  0.432  0.738  0.397
Ag  0.754  0.994  0.499
Ag  0.312  0.427  0.950
Ag  0.636  0.651  0.078
Ag  0.080  0.243  0.597
F  0.953  0.113  0.980

[20]
Density functional theory data (PBE) for Ag5F after structural relaxation.

## Properties
energy relative to the elements, uncorrected: -24 kJ per mole of atoms
DOS(E_F): 0.421 states/eV/atom
M_tot: 0.0 μB per cell
energy relative to the lowest polymorph listed for this composition: 12 meV per atom

a = 3.002 Å, b = 4.921 Å, c = 7.334 Å
α = 109.60°, β = 90.00°, γ = 90.00°
Fractional positions:
Ag  0.000  0.684  0.368
Ag  0.000  0.316  0.632
Ag  0.500  0.500  0.000
Ag  0.500  0.860  0.720
Ag  0.500  0.140  0.280
F  0.000  0.000  0.000

[21]
Density functional theory data (PBE) for Ag3F4 after structural relaxation.

## Properties
energy relative to the elements, uncorrected: -96 kJ per mole of atoms
DOS(E_F): 1.388 states/eV/atom
M_tot: 0.8 μB per cell
energy relative to the lowest polymorph listed for this composition: 26 meV per atom

a = 3.700 Å, b = 3.700 Å, c = 9.515 Å
α = 78.79°, β = 78.79°, γ = 60.00°
Fractional positions:
F  0.120  0.120  0.640
F  0.705  0.705  0.884
F  0.295  0.295  0.116
F  0.880  0.880  0.360
Ag  0.604  0.604  0.189
Ag  0.396  0.396  0.811
Ag  0.500  0.500  0.500

[22]
Density functional theory data (PBE) for Ag5F7 after structural relaxation.

## Properties
energy relative to the elements, uncorrected: -104 kJ per mole of atoms
DOS(E_F): 0.424 states/eV/atom
M_tot: 0.0 μB per cell

a = 3.472 Å, b = 6.344 Å, c = 10.012 Å
α = 71.21°, β = 81.80°, γ = 64.84°
Fractional positions:
Ag  0.784  0.427  0.185
Ag  0.216  0.573  0.815
Ag  0.000  0.000  0.000
Ag  0.896  0.803  0.421
Ag  0.104  0.197  0.579
F  0.256  0.127  0.365
F  0.058  0.743  0.211
F  0.403  0.268  0.051
F  0.942  0.257  0.789
F  0.744  0.873  0.635
F  0.597  0.732  0.949
F  0.500  0.500  0.500

[23]
Density functional theory data (PBE) for AgF after structural relaxation.

## Properties
energy relative to the elements, uncorrected: -90 kJ per mole of atoms
DOS(E_F): 0.712 states/eV/atom
M_tot: 0.0 μB per cell
energy relative to the lowest polymorph listed for this composition: 33 meV per atom

a = 3.037 Å, b = 3.037 Å, c = 3.037 Å
α = 90.00°, β = 90.00°, γ = 90.00°
Fractional positions:
Ag  0.000  0.000  0.000
F  0.500  0.500  0.500

[24]
Density functional theory data (PBE) for Ag2F3 after structural relaxation.

## Properties
energy relative to the elements, uncorrected: -104 kJ per mole of atoms
DOS(E_F): 0.621 states/eV/atom
M_tot: 0.0 μB per cell
energy relative to the lowest polymorph listed for this composition: 0 meV per atom

a = 6.052 Å, b = 6.052 Å, c = 5.997 Å
α = 59.70°, β = 59.70°, γ = 60.00°
Fractional positions:
Ag  0.744  0.744  0.768
Ag  0.500  0.500  0.500
Ag  0.000  0.000  0.000
Ag  0.256  0.256  0.232
F  0.746  0.362  0.753
F  0.254  0.638  0.247
F  0.139  0.746  0.753
F  0.638  0.861  0.247
F  0.362  0.139  0.753
F  0.861  0.254  0.247

[25]
Density functional theory data (PBE) for AgF after structural relaxation.

## Properties
energy relative to the elements, uncorrected: -93 kJ per mole of atoms
DOS(E_F): 0.431 states/eV/atom
M_tot: 0.0 μB per cell
energy relative to the lowest polymorph listed for this composition: 0 meV per atom

a = 3.236 Å, b = 6.646 Å, c = 5.630 Å
α = 90.00°, β = 90.00°, γ = 90.00°
Fractional positions:
F  0.750  0.500  0.750
F  0.250  0.000  0.250
F  0.250  0.500  0.250
F  0.750  0.000  0.750
Ag  0.750  0.250  0.418
Ag  0.250  0.250  0.918
Ag  0.750  0.750  0.082
Ag  0.250  0.750  0.582

[26]
Density functional theory data (PBE) for Ag5F8 after structural relaxation.

## Properties
energy relative to the elements, uncorrected: -104 kJ per mole of atoms
DOS(E_F): 0.466 states/eV/atom
M_tot: 1.0 μB per cell

a = 7.316 Å, b = 7.316 Å, c = 6.705 Å
α = 110.38°, β = 98.64°, γ = 122.90°
Fractional positions:
F  0.843  0.489  0.331
F  0.157  0.511  0.669
F  0.708  0.619  0.750
F  0.292  0.381  0.250
F  0.131  0.043  0.750
F  0.869  0.957  0.250
F  0.643  0.972  0.616
F  0.357  0.028  0.384
Ag  0.000  0.000  0.000
Ag  0.297  0.296  0.593
Ag  0.703  0.704  0.407
Ag  0.245  0.745  0.500
Ag  0.755  0.255  0.500